Record 1
{
  "formula": "CdPNO2",
  "functional": "PBEsol",
  "state": "optimized geometry",
  "lattice": [[3.9747, 0.0000, 0.0000], [0.0000, 3.9747, 0.0000], [0.0000, 0.0000, 4.1699]],
  "species": ["P", "N", "O", "O", "Cd"],
  "fractional_positions": [[0.5000, 0.5000, 0.5000], [0.0000, 0.0000, 0.5000], [0.0000, 0.5000, 0.0000], [0.5000, 0.0000, 0.0000], [0.0000, 0.0000, 0.0000]],
  "n_ef_per_ev_cell": 2.62,
  "formation_energy_uncorrected_ev_per_atom": 1.332,
  "spacegroup": "P4/mmm"
}

=====

Record 2
{
  "formula": "CdRhN2O",
  "functional": "PBEsol",
  "state": "optimized geometry",
  "lattice": [[3.7166, 0.0000, 0.0000], [0.0000, 3.7166, 0.0000], [0.0000, 0.0000, 4.3364]],
  "species": ["N", "N", "Rh", "O", "Cd"],
  "fractional_positions": [[0.0000, 0.5000, 0.0000], [0.5000, 0.0000, 0.0000], [0.0000, 0.0000, 0.0000], [0.0000, 0.0000, 0.5000], [0.5000, 0.5000, 0.5000]],
  "n_ef_per_ev_cell": 2.78,
  "formation_energy_uncorrected_ev_per_atom": 0.634,
  "spacegroup": "P4/mmm"
}

=====

Record 3
{
  "formula": "CdSbNO2",
  "functional": "PBEsol",
  "state": "optimized geometry",
  "lattice": [[-0.6836, -0.7511, -3.9011], [-1.0428, -3.7857, 0.9116], [-3.9917, 1.2117, 0.4661]],
  "species": ["Sb", "N", "O", "O", "Cd"],
  "fractional_positions": [[0.5000, 0.5000, 0.5000], [0.0000, 0.0000, 0.5000], [0.0000, 0.5000, 0.0000], [0.5000, 0.0000, 0.0000], [0.0000, 0.0000, 0.0000]],
  "n_ef_per_ev_cell": 3.10,
  "formation_energy_uncorrected_ev_per_atom": 0.574,
  "spacegroup": "P4/mmm"
}

=====

Record 4
{
  "formula": "ScCdNO2",
  "functional": "PBEsol",
  "state": "optimized geometry",
  "lattice": [[-0.4180, -2.5253, 3.0442], [3.9533, -0.3623, 0.2423], [0.1270, 3.1408, 2.6229]],
  "species": ["Sc", "N", "O", "O", "Cd"],
  "fractional_positions": [[0.5000, 0.5000, 0.5000], [0.0000, 0.0000, 0.5000], [0.0000, 0.5000, 0.0000], [0.5000, 0.0000, 0.0000], [0.0000, 0.0000, 0.0000]],
  "n_ef_per_ev_cell": 2.56,
  "formation_energy_uncorrected_ev_per_atom": -0.150,
  "spacegroup": "P4/mmm"
}

=====

Record 5
{
  "formula": "CdSe2NO",
  "functional": "PBEsol",
  "state": "optimized geometry",
  "lattice": [[-0.5004, 3.7255, -0.8591], [-4.2870, -0.8483, -1.1814], [-1.3305, 0.8019, 4.2522]],
  "species": ["N", "O", "Se", "Se", "Cd"],
  "fractional_positions": [[0.5000, 0.0000, 0.0000], [0.0000, 0.0000, 0.0000], [0.0000, 0.0000, 0.5000], [0.0000, 0.5000, 0.0000], [0.5000, 0.5000, 0.5000]],
  "n_ef_per_ev_cell": 1.64,
  "formation_energy_uncorrected_ev_per_atom": 1.045,
  "spacegroup": "P4/mmm"
}

=====

Record 6
{
  "formula": "CdSnNO2",
  "functional": "PBEsol",
  "state": "optimized geometry",
  "lattice": [[4.1503, 0.0000, 0.0000], [0.0000, 4.1611, 0.0000], [0.0000, 0.0000, 4.1611]],
  "species": ["N", "Sn", "O", "O", "Cd"],
  "fractional_positions": [[0.5000, 0.0000, 0.0000], [0.5000, 0.5000, 0.5000], [0.0000, 0.0000, 0.5000], [0.0000, 0.5000, 0.0000], [0.0000, 0.0000, 0.0000]],
  "n_ef_per_ev_cell": 2.72,
  "formation_energy_uncorrected_ev_per_atom": 0.511,
  "spacegroup": "P4/mmm"
}

=====

Record 7
{
  "formula": "CdTeNO2",
  "functional": "PBEsol",
  "state": "optimized geometry",
  "lattice": [[4.0406, 0.0000, 0.0000], [0.0000, 4.0406, 0.0000], [0.0000, 0.0000, 4.2149]],
  "species": ["N", "Te", "O", "O", "Cd"],
  "fractional_positions": [[0.0000, 0.0000, 0.5000], [0.5000, 0.5000, 0.5000], [0.0000, 0.5000, 0.0000], [0.5000, 0.0000, 0.0000], [0.0000, 0.0000, 0.0000]],
  "n_ef_per_ev_cell": 2.11,
  "formation_energy_uncorrected_ev_per_atom": 0.782,
  "spacegroup": "P4/mmm"
}

=====

Record 8
{
  "formula": "TiCdN2O",
  "functional": "PBEsol",
  "state": "optimized geometry",
  "lattice": [[3.9403, 0.0000, 0.0000], [0.0000, 4.0173, 0.0000], [0.0000, 0.0000, 4.0173]],
  "species": ["N", "N", "Ti", "O", "Cd"],
  "fractional_positions": [[0.0000, 0.0000, 0.5000], [0.0000, 0.5000, 0.0000], [0.5000, 0.5000, 0.5000], [0.5000, 0.0000, 0.0000], [0.0000, 0.0000, 0.0000]],
  "n_ef_per_ev_cell": 2.66,
  "formation_energy_uncorrected_ev_per_atom": 1.119,
  "spacegroup": "P4/mmm"
}

=====

Record 9
{
  "formula": "TlCdN2O",
  "functional": "PBEsol",
  "state": "optimized geometry",
  "lattice": [[4.2591, 0.0000, 0.0000], [0.0000, 4.2672, 0.0000], [0.0000, 0.0000, 4.2672]],
  "species": ["Tl", "N", "N", "O", "Cd"],
  "fractional_positions": [[0.0000, 0.0000, 0.0000], [0.0000, 0.0000, 0.5000], [0.0000, 0.5000, 0.0000], [0.5000, 0.0000, 0.0000], [0.5000, 0.5000, 0.5000]],
  "n_ef_per_ev_cell": 3.76,
  "formation_energy_uncorrected_ev_per_atom": 1.508,
  "spacegroup": "P4/mmm"
}

=====

Record 10
{
  "formula": "ZnCdN2O",
  "functional": "PBEsol",
  "state": "optimized geometry",
  "lattice": [[-0.2065, -1.8636, 3.3852], [-3.1914, -1.8293, -1.2017], [2.2312, -2.9244, -1.4739]],
  "species": ["Zn", "N", "N", "O", "Cd"],
  "fractional_positions": [[0.0000, 0.0000, 0.0000], [0.0000, 0.5000, 0.0000], [0.5000, 0.0000, 0.0000], [0.0000, 0.0000, 0.5000], [0.5000, 0.5000, 0.5000]],
  "n_ef_per_ev_cell": 1.55,
  "formation_energy_uncorrected_ev_per_atom": 1.027,
  "spacegroup": "P4/mmm"
}

=====

Record 11
{
  "formula": "CdOsN2",
  "functional": "PBEsol",
  "state": "optimized geometry",
  "lattice": [[4.7967, 0.0000, 0.0000], [0.0000, 4.7967, 0.0000], [-2.3984, -2.3984, 4.8786]],
  "species": ["N", "N", "N", "N", "Os", "Os", "Cd", "Cd"],
  "fractional_positions": [[0.3082, 0.8750, 0.2500], [0.9418, 0.3750, 0.2500], [0.1250, 0.0582, 0.7500], [0.6250, 0.6918, 0.7500], [0.2500, 0.7500, 0.5000], [0.0000, 0.0000, 0.0000], [0.7500, 0.2500, 0.5000], [0.5000, 0.5000, 0.0000]],
  "n_ef_per_ev_cell": 3.51,
  "formation_energy_uncorrected_ev_per_atom": 0.534,
  "spacegroup": "I-42d"
}

=====

Record 12
{
  "formula": "CdPSe2N",
  "functional": "PBEsol",
  "state": "optimized geometry",
  "lattice": [[-2.6767, 1.8205, 0.5048], [-1.7264, -3.4507, 3.2909], [2.3603, 2.4227, 3.7785]],
  "species": ["P", "N", "Se", "Se", "Cd"],
  "fractional_positions": [[0.0000, 0.0000, 0.0000], [0.5000, 0.0000, 0.0000], [0.0000, 0.0000, 0.5000], [0.0000, 0.5000, 0.0000], [0.5000, 0.5000, 0.5000]],
  "n_ef_per_ev_cell": 2.53,
  "formation_energy_uncorrected_ev_per_atom": 0.280,
  "spacegroup": "P4/mmm"
}

=====

Record 13
{
  "formula": "SrCd2PN",
  "functional": "PBEsol",
  "state": "optimized geometry",
  "lattice": [[-3.0360, -3.0512, 1.0377], [3.1574, -2.5304, 1.7977], [-0.7424, 2.2676, 4.4957]],
  "species": ["Sr", "N", "P", "Cd", "Cd"],
  "fractional_positions": [[0.0000, 0.0000, 0.5000], [0.0000, 0.0000, 0.0000], [0.5000, 0.5000, 0.5000], [0.0000, 0.5000, 0.0000], [0.5000, 0.0000, 0.0000]],
  "n_ef_per_ev_cell": 0.52,
  "formation_energy_uncorrected_ev_per_atom": -0.122,
  "spacegroup": "P4/mmm"
}

=====

Record 14
{
  "formula": "CdPb2N2",
  "functional": "PBEsol",
  "state": "optimized geometry",
  "lattice": [[3.4409, 0.0000, 0.0000], [-1.7205, 2.9799, 0.0000], [0.0000, 0.0000, 8.9758]],
  "species": ["Cd", "Pb", "Pb", "N", "N"],
  "fractional_positions": [[0.0000, 0.0000, 0.5000], [0.3333, 0.6667, 0.8068], [0.6667, 0.3333, 0.1932], [0.3333, 0.6667, 0.3370], [0.6667, 0.3333, 0.6630]],
  "n_ef_per_ev_cell": 0.48,
  "formation_energy_uncorrected_ev_per_atom": 0.440,
  "spacegroup": "P-3m1"
}

=====

Record 15
{
  "formula": "Cd3PbN",
  "functional": "PBEsol",
  "state": "optimized geometry",
  "lattice": [[-3.3282, 2.8323, -1.6032], [-1.2593, -3.2352, -3.1011], [-3.0011, -1.7835, 3.0793]],
  "species": ["Pb", "N", "Cd", "Cd", "Cd"],
  "fractional_positions": [[0.5000, 0.5000, 0.5000], [0.0000, 0.0000, 0.0000], [0.0000, 0.5000, 0.0000], [0.0000, 0.0000, 0.5000], [0.5000, 0.0000, 0.0000]],
  "n_ef_per_ev_cell": 1.89,
  "formation_energy_uncorrected_ev_per_atom": 0.443,
  "spacegroup": "Pm-3m"
}

=====

Record 16
{
  "formula": "Cd2Pd2N",
  "functional": "PBEsol",
  "state": "optimized geometry",
  "lattice": [[3.4922, 0.0000, 0.0000], [0.0000, 3.4922, 0.0000], [-1.7461, -1.7461, 7.1011]],
  "species": ["N", "Pd", "Pd", "Cd", "Cd"],
  "fractional_positions": [[0.0000, 0.0000, 0.0000], [0.2500, 0.7500, 0.5000], [0.7500, 0.2500, 0.5000], [0.4059, 0.4059, 0.8118], [0.5941, 0.5941, 0.1882]],
  "n_ef_per_ev_cell": 3.34,
  "formation_energy_uncorrected_ev_per_atom": 0.804,
  "spacegroup": "I4/mmm"
}

=====

Record 17
{
  "formula": "Cd3PdN",
  "functional": "PBEsol",
  "state": "optimized geometry",
  "lattice": [[4.4487, 0.0000, 0.0000], [0.0000, 4.4487, 0.0000], [0.0000, 0.0000, 4.4487]],
  "species": ["N", "Pd", "Cd", "Cd", "Cd"],
  "fractional_positions": [[0.0000, 0.0000, 0.0000], [0.5000, 0.5000, 0.5000], [0.0000, 0.5000, 0.0000], [0.0000, 0.0000, 0.5000], [0.5000, 0.0000, 0.0000]],
  "n_ef_per_ev_cell": 2.18,
  "formation_energy_uncorrected_ev_per_atom": 0.384,
  "spacegroup": "Pm-3m"
}

=====

Record 18
{
  "formula": "CdTe2PdN",
  "functional": "PBEsol",
  "state": "optimized geometry",
  "lattice": [[-0.5222, 3.8639, 0.2945], [-4.4594, -0.3515, -3.2964], [-3.2309, -0.7761, 4.4536]],
  "species": ["N", "Te", "Te", "Pd", "Cd"],
  "fractional_positions": [[0.5000, 0.0000, 0.0000], [0.0000, 0.0000, 0.5000], [0.0000, 0.5000, 0.0000], [0.5000, 0.5000, 0.5000], [0.0000, 0.0000, 0.0000]],
  "n_ef_per_ev_cell": 3.27,
  "formation_energy_uncorrected_ev_per_atom": 1.237,
  "spacegroup": "P4/mmm"
}

=====

Record 19
{
  "formula": "CdPtN3",
  "functional": "PBEsol",
  "state": "optimized geometry",
  "lattice": [[3.9353, 0.0000, 0.0000], [0.0000, 3.9353, 0.0000], [0.0000, 0.0000, 3.9353]],
  "species": ["N", "N", "N", "Pt", "Cd"],
  "fractional_positions": [[0.0000, 0.5000, 0.0000], [0.0000, 0.0000, 0.5000], [0.5000, 0.0000, 0.0000], [0.0000, 0.0000, 0.0000], [0.5000, 0.5000, 0.5000]],
  "n_ef_per_ev_cell": 4.77,
  "formation_energy_uncorrected_ev_per_atom": 1.588,
  "spacegroup": "Pm-3m"
}

=====

Record 20
{
  "formula": "CdPtSN2",
  "functional": "PBEsol",
  "state": "optimized geometry",
  "lattice": [[3.9785, 0.0000, 0.0000], [0.0000, 3.9785, 0.0000], [0.0000, 0.0000, 5.3646]],
  "species": ["S", "N", "N", "Pt", "Cd"],
  "fractional_positions": [[0.0000, 0.0000, 0.5000], [0.0000, 0.5000, 0.0000], [0.5000, 0.0000, 0.0000], [0.5000, 0.5000, 0.5000], [0.0000, 0.0000, 0.0000]],
  "n_ef_per_ev_cell": 3.10,
  "formation_energy_uncorrected_ev_per_atom": 2.122,
  "spacegroup": "P4/mmm"
}